Compound: MgCoPbF6
Source: Alexandria via LeMat-Bulk
Functional: GGA+U
Structure: optimized geometry

Calculated values
- total DFT energy (no corrections) (Ha/atom) = -0.187
- density (kg/m³) = 5047

Lattice parameters (Å, degrees): 5.4046 5.4046 10.5208 90.00 90.00 120.00
With the nearest neighbours (Å) after each atom.
Positions (direct):
Co 0.3333 0.6667 0.7500  6 F 2.07
Co 0.6667 0.3333 0.2500  6 F 2.07
F 0.9935 0.6310 0.8546  1 Mg 2.02, 1 Co 2.07
F 0.3690 0.3625 0.8546  1 Mg 2.02, 1 Co 2.07
F 0.6310 0.9935 0.3546  1 Mg 2.02, 1 Co 2.07
F 0.9935 0.3625 0.6454  1 Mg 2.02, 1 Co 2.07
F 0.3625 0.3690 0.3546  1 Mg 2.02, 1 Co 2.07
F 0.3625 0.9935 0.1454  1 Mg 2.02, 1 Co 2.07
F 0.0065 0.6375 0.3546  1 Mg 2.02, 1 Co 2.07
F 0.0065 0.3690 0.1454  1 Mg 2.02, 1 Co 2.07
F 0.6375 0.6310 0.6454  1 Mg 2.02, 1 Co 2.07
F 0.6375 0.0065 0.8546  1 Mg 2.02, 1 Co 2.07
F 0.6310 0.6375 0.1454  1 Mg 2.02, 1 Co 2.07
F 0.3690 0.0065 0.6454  1 Mg 2.02, 1 Co 2.07
Mg 0.6667 0.3333 0.7500  6 F 2.02
Mg 0.3333 0.6667 0.2500  6 F 2.02
Pb 0.0000 0.0000 0.5000  6 F 2.50
Pb 0.0000 0.0000 0.0000  6 F 2.50